# 1
The following is a PBE-GGA calculation of Tb4Se3N2 after structural relaxation, from the Alexandria database.

Polymorph energy (0 for the lowest one), eV/atom: 0.000

Unit cell a=6.9893 b=6.9893 c=10.3494 alpha=52.30 beta=52.30 gamma=32.85
Last column: nearest neighbours and their distance in Å.
Positions (direct):
Tb1 0.5576 0.5576 0.1519  1 N 2.17
Tb2 0.2432 0.2432 0.6402  3 N 2.25-2.36
Tb3 0.7568 0.7568 0.3598  3 N 2.25-2.36
Tb4 0.4424 0.4424 0.8481  1 N 2.17
Se1 0.8338 0.8338 0.7725  4 Tb 2.84-3.06
Se2 0.1662 0.1662 0.2275  4 Tb 2.84-3.06
Se3 0.0000 0.0000 0.0000  6 Tb 2.92-3.00
N1 0.3516 0.3516 0.3626  4 Tb 2.17-2.36
N2 0.6484 0.6484 0.6374  4 Tb 2.17-2.36

***

# 2
The following is a PBE-GGA calculation of K6Br after structural relaxation, from the Alexandria database.

Calculated total energy, eV per atom: -1.06

Unit cell a=9.8753 b=9.8753 c=9.8753 alpha=109.47 beta=109.47 gamma=109.47
Last column: nearest neighbours and their distance in Å.
Positions (direct):
K1 0.7500 0.2500 0.5000  4 K 4.03
K2 0.5000 0.7500 0.2500  4 K 4.03
K3 0.5000 0.2500 0.7500  4 K 4.03
K4 0.2500 0.5000 0.7500  4 K 4.03
K5 0.7500 0.5000 0.2500  4 K 4.03
K6 0.2500 0.7500 0.5000  4 K 4.03
Br1 0.0000 0.0000 0.0000  none within 6

***

# 3
The following is a PBE-GGA calculation of LaTeP2 after structural relaxation, from the Alexandria database.

Calculated total energy, eV per atom: -5.35

Unit cell a=5.8279 b=5.8279 c=5.7811 alpha=78.78 beta=78.78 gamma=33.92
Last column: nearest neighbours and their distance in Å.
Positions (direct):
La1 0.7500 0.7500 0.7500  6 P 3.07-3.17, 4 Te 3.35, 2 La 3.40
Te1 0.2500 0.2500 0.2500  4 La 3.35, 2 Te 3.40, 4 P 3.64
P1 0.4944 0.4944 0.6268  2 P 2.24
P2 0.0056 0.0056 0.8732  2 P 2.24

***

# 4
The following is a PBE-GGA calculation of Dy3HoMg6 after structural relaxation, from the Alexandria database.

Energy relative to the elements, meV/atom: -62

Unit cell a=5.2606 b=9.2518 c=11.2329 alpha=105.58 beta=90.00 gamma=90.00
Last column: nearest neighbours and their distance in Å.
Positions (direct):
Dy1 0.2500 0.7496 0.0051  8 Mg 3.22-3.30
Dy2 0.7500 0.6483 0.2044  8 Mg 3.27-3.33
Dy3 0.2500 0.5428 0.3973  8 Mg 3.21-3.36
Dy4 0.7500 0.4572 0.6027  8 Mg 3.21-3.36
Dy5 0.2500 0.3517 0.7956  8 Mg 3.27-3.33
Dy6 0.7500 0.2504 0.9949  8 Mg 3.22-3.30
Mg1 0.7500 0.9540 0.1008  3 Mg 3.19-3.20, 1 Ho 3.23, 4 Dy 3.25-3.33
Mg2 0.7500 0.5582 0.8993  1 Mg 3.19, 7 Dy 3.21-3.30
Mg3 0.2500 0.4418 0.1007  1 Mg 3.19, 7 Dy 3.21-3.30
Mg4 0.7500 0.1434 0.6974  3 Ho 3.20-3.22, 1 Mg 3.22, 4 Dy 3.22-3.35
Mg5 0.2500 0.8566 0.3026  3 Ho 3.20-3.22, 1 Mg 3.22, 4 Dy 3.22-3.35
Mg6 0.2500 0.1452 0.1946  8 Mg 3.19-3.22
Mg7 0.2500 0.6622 0.7069  1 Ho 3.20, 2 Mg 3.20, 5 Dy 3.23-3.36
Mg8 0.7500 0.7568 0.5090  3 Ho 3.19-3.27, 1 Mg 3.21, 4 Dy 3.22-3.33
Mg9 0.2500 0.2432 0.4910  3 Ho 3.19-3.27, 1 Mg 3.21, 4 Dy 3.22-3.33
Mg10 0.2500 0.0460 0.8992  3 Mg 3.19-3.20, 1 Ho 3.23, 4 Dy 3.25-3.33
Mg11 0.7500 0.8548 0.8054  8 Mg 3.19-3.22
Mg12 0.7500 0.3378 0.2931  1 Ho 3.20, 2 Mg 3.20, 5 Dy 3.23-3.36
Ho1 0.2500 0.9499 0.6006  8 Mg 3.19-3.27
Ho2 0.7500 0.0501 0.3994  8 Mg 3.19-3.27

***

# 5
The following is a PBE-GGA calculation of ZnCo2Pd2 after structural relaxation, from the Alexandria database.

Energy relative to the elements, meV/atom: 129
Polymorph energy (0 for the lowest one), eV/atom: 0.000

Unit cell a=7.2121 b=7.2121 c=2.7511 alpha=90.00 beta=90.00 gamma=90.00
Last column: nearest neighbours and their distance in Å.
Positions (direct):
Pd1 0.1842 0.6842 0.5000  6 Co 2.50-2.59, 2 Pd 2.75
Pd2 0.3158 0.1842 0.5000  6 Co 2.50-2.59, 2 Pd 2.75
Pd3 0.6842 0.8158 0.5000  6 Co 2.50-2.59, 2 Pd 2.75
Pd4 0.8158 0.3158 0.5000  6 Co 2.50-2.59, 2 Pd 2.75
Zn1 0.5000 0.5000 0.0000  2 Zn 2.75, 4 Co 2.92, 8 Pd 2.97
Zn2 0.0000 0.0000 0.0000  2 Zn 2.75, 4 Co 2.92, 8 Pd 2.97
Co1 0.6110 0.1110 0.0000  1 Co 2.26, 2 Pd 2.50
Co2 0.8890 0.6110 0.0000  1 Co 2.26, 2 Pd 2.50
Co3 0.3890 0.8890 0.0000  1 Co 2.26, 2 Pd 2.50
Co4 0.1110 0.3890 0.0000  1 Co 2.26, 2 Pd 2.50

***

# 6
The following is a PBE-GGA calculation of TmCo3B2 after structural relaxation, from the Alexandria database.

Energy relative to the elements, meV/atom: -266
Polymorph energy (0 for the lowest one), eV/atom: 0.261

Unit cell a=4.8245 b=5.2780 c=5.2779 alpha=99.51 beta=90.01 gamma=90.01
Last column: nearest neighbours and their distance in Å.
Positions (direct):
Co1 0.7500 0.0379 0.0379  4 B 2.10
Co2 0.7500 0.4964 0.0870  2 B 1.98
Co3 0.2500 0.5036 0.9130  2 B 1.98
Co4 0.2500 0.9131 0.5036  2 B 1.98
Co5 0.7500 0.0869 0.4964  2 B 1.98
Co6 0.2500 0.9621 0.9621  4 B 2.10
B1 0.5000 0.2112 0.7888  4 Co 1.98-2.10
B2 0.5000 0.7888 0.2112  4 Co 1.98-2.10
B3 0.0000 0.7888 0.2112  4 Co 1.98-2.10
B4 0.0000 0.2112 0.7888  4 Co 1.98-2.10
Tm1 0.2499 0.3502 0.3502  3 Co 2.57-2.65, 4 B 2.81
Tm2 0.7501 0.6498 0.6498  3 Co 2.57-2.65, 4 B 2.81